Record 1
TbDySe3 PBE optimized geometry; total magnetization = 0.00 μB/atom; E above lowest polymorph = 30 meV per atom; final energy = -5.752 eV per atom; formation energy from raw total energies = -1.8149 eV/atom; SG = C2/m (12)
1.0
-3.288 1.784 2.073
2.431 -0.609 8.790
3.484 6.733 4.141
Dy Se Tb
2 6 2
Cartesian
-2.032 1.616 4.208
4.660 6.292 10.796
2.888 5.198 4.517
-0.260 2.710 10.488
2.031 5.416 11.793
2.829 5.833 8.288
0.596 2.492 3.212
-0.201 2.075 6.717
2.348 3.352 9.660
0.280 4.556 5.344

Record 2
Tb2DySe PBE optimized geometry; total magnetization = 0.16 μB/atom; E above lowest polymorph = 267 meV per atom; final energy = -4.880 eV per atom; formation energy from raw total energies = -0.5428 eV/atom; SG = R-3m (166)
1.0
3.726 0.000 0.000
1.863 3.227 0.000
1.863 1.076 10.355
Se Tb Dy
1 2 1
Cartesian
3.726 2.151 5.178
1.863 1.076 6.987
5.589 3.227 3.369
0.000 0.000 0.000

Record 3
TbDyTeSe PBE optimized geometry; total magnetization = 0.00 μB/atom; final energy = -5.541 eV per atom; formation energy from raw total energies = -1.5768 eV/atom; SG = R3m (160)
1.0
4.110 -0.001 -0.001
-2.055 3.560 0.000
-2.055 -1.186 7.292
Se Tb Dy Te
1 1 1 1
Cartesian
-1.667 0.926 6.371
0.388 -0.260 4.720
-1.666 3.300 0.623
2.443 0.926 2.647